! AcGa3Ru3 (GGA-PBE, relaxed); values from VASP
! space-group type = Pm-3n
! M_tot = 0.00 μB per atom
! uncorrected energy = -80.3 eV for the cell shown
! Fermi-level density of states = 13.1 states/eV/cell
&SYSTEM
  ibrav = 0, nat = 14, ntyp = 3
/
ATOMIC_SPECIES
Ru 101.07 Ru.upf
Ac 227.00 Ac.upf
Ga 69.72 Ga.upf
ATOMIC_POSITIONS angstrom
Ru -0.631 -3.570 1.071
Ru -2.611 -5.427 -0.946
Ru -2.179 -2.959 4.863
Ru -6.056 -0.351 0.599
Ru -2.538 -0.318 2.784
Ru -3.339 -1.355 -1.145
Ac -4.338 -3.495 1.807
Ac 0.000 0.000 0.000
Ga -1.000 -2.140 2.952
Ga -1.800 -3.177 -0.977
Ga -5.687 -1.781 -1.281
Ga -3.717 -1.137 4.696
Ga -1.441 -5.819 1.103
Ga -3.707 0.075 0.736
CELL_PARAMETERS angstrom
-5.435 2.007 3.488
-3.959 -3.713 -4.034
0.718 -5.284 4.159


! MnTeOsRu2 (GGA-PBE, relaxed); values from VASP
! space-group type = P4/mmm
! ΔE_f (raw) = 771 kJ/mol of formula units
! M_tot = 0.00 μB per atom
! Fermi-level density of states = 8.4 states/eV/cell
&SYSTEM
  ibrav = 0, nat = 5, ntyp = 4
/
ATOMIC_SPECIES
Ru 101.07 Ru.upf
Te 127.60 Te.upf
Os 190.23 Os.upf
Mn 54.94 Mn.upf
ATOMIC_POSITIONS angstrom
Ru 0.000 2.168 0.000
Ru 2.168 0.000 0.000
Te 0.000 0.000 2.356
Os 2.168 2.168 2.356
Mn 0.000 0.000 0.000
CELL_PARAMETERS angstrom
4.336 0.000 0.000
0.000 4.336 0.000
0.000 0.000 4.712


! Nd12Ni6Hg (GGA-PBE, relaxed); values from VASP
! space-group type = Im-3
! M_tot = 0.00 μB per atom
! uncorrected energy = -97.2 eV for the cell shown
! Fermi-level density of states = 16.8 states/eV/cell
&SYSTEM
  ibrav = 0, nat = 19, ntyp = 3
/
ATOMIC_SPECIES
Nd 144.24 Nd.upf
Ni 58.69 Ni.upf
Hg 200.59 Hg.upf
ATOMIC_POSITIONS angstrom
Nd -2.957 2.248 5.009
Nd 2.926 -0.609 1.979
Nd -0.214 -0.250 6.227
Nd 5.668 -3.108 3.197
Nd 5.427 2.117 2.225
Nd -0.460 -1.976 2.955
Nd 3.172 1.117 5.252
Nd -2.716 -2.976 5.981
Nd 0.889 -5.430 2.934
Nd 0.198 1.742 3.127
Nd 2.514 -2.601 5.080
Nd 1.822 4.571 5.272
Ni -0.105 2.662 5.696
Ni 2.817 -3.521 2.510
Ni 5.100 -0.459 3.649
Ni -2.389 -0.400 4.557
Ni -0.232 -3.712 5.070
Ni 2.943 2.852 3.136
Hg 0.000 0.000 0.000
CELL_PARAMETERS angstrom
-1.461 -8.126 2.696
8.504 1.709 0.433
-4.332 5.557 5.077


! NaNbBr5 (GGA-PBE, relaxed); values from VASP
! space-group type = C2/c
! ΔE_f (raw) = -657 kJ/mol of formula units
! M_tot = 0.14 μB per atom
! Fermi-level density of states = 7.1 states/eV/cell
&SYSTEM
  ibrav = 0, nat = 14, ntyp = 3
/
ATOMIC_SPECIES
Na 22.99 Na.upf
Nb 92.91 Nb.upf
Br 79.90 Br.upf
ATOMIC_POSITIONS angstrom
Na -0.843 6.199 9.599
Na -2.195 2.153 6.811
Nb 0.000 0.000 0.000
Nb 1.623 3.788 2.969
Br 1.005 7.308 7.052
Br -0.831 3.298 9.876
Br 0.430 2.520 4.786
Br -2.814 8.080 8.277
Br 1.659 6.702 11.008
Br -4.697 1.650 5.403
Br -0.225 0.273 8.133
Br -3.468 5.833 11.624
Br -2.207 5.055 6.534
Br -4.043 1.045 9.358
CELL_PARAMETERS angstrom
-5.820 2.944 3.440
-0.464 -2.167 7.033
3.245 7.576 5.938


! TeIrCN2 (GGA-PBE, relaxed); values from VASP
! space-group type = P4/mmm
! ΔE_f (raw) = 813 kJ/mol of formula units
! excess energy over the best structure of this formula in the dataset = 0.00 eV/f.u.
! M_tot = 0.23 μB per atom
! Fermi-level density of states = 2.9 states/eV/cell
&SYSTEM
  ibrav = 0, nat = 5, ntyp = 4
/
ATOMIC_SPECIES
C 12.01 C.upf
Ir 192.22 Ir.upf
Te 127.60 Te.upf
N 14.01 N.upf
ATOMIC_POSITIONS angstrom
C -3.966 -0.047 0.641
Ir 0.000 0.000 0.000
Te -2.017 0.825 2.141
N -0.871 -1.614 -0.199
N -1.077 0.742 -1.301
CELL_PARAMETERS angstrom
-2.155 1.484 -2.602
-1.742 -3.228 -0.398
-4.035 1.650 4.282


! In3SbMo (GGA-PBE, relaxed); values from VASP
! space-group type = Pm-3m
! ΔE_f (raw) = 353 kJ/mol of formula units
! excess energy over the best structure of this formula in the dataset = 0.00 eV/f.u.
! M_tot = 0.51 μB per atom
! Fermi-level density of states = 7.0 states/eV/cell
&SYSTEM
  ibrav = 0, nat = 5, ntyp = 3
/
ATOMIC_SPECIES
Sb 121.76 Sb.upf
Mo 95.94 Mo.upf
In 114.82 In.upf
ATOMIC_POSITIONS angstrom
Sb 2.672 2.672 2.672
Mo 0.000 0.000 0.000
In 0.000 2.672 0.000
In 0.000 0.000 2.672
In 2.672 0.000 0.000
CELL_PARAMETERS angstrom
5.344 0.000 0.000
0.000 5.344 0.000
0.000 0.000 5.344